VASP calculation (GGA-PBE) on a relaxed structure of LiSiAgSe3.

```
LiSiAgSe3
1.0
1.7625 -6.7883 0.0000
1.7625 6.7883 0.0000
0.0000 0.0000 10.3097
Li Si Ag Se
2 2 2 6
direct
0.1783 0.8217 0.7500
0.8217 0.1783 0.2500
0.5000 0.5000 0.0000
0.5000 0.5000 0.5000
0.1409 0.8591 0.2500
0.8591 0.1409 0.7500
0.1310 0.8690 0.0084
0.1310 0.8690 0.4916
0.4608 0.5392 0.2500
0.5392 0.4608 0.7500
0.8690 0.1310 0.5084
0.8690 0.1310 0.9916
```

Summary:
Electronic total energy, eV/atom: -3.76
Symmetry: Cmcm (63)
Crystal system: orthorhombic

VASP calculation (GGA-PBE) on a relaxed structure of LiSiAgTe2Se.

```
LiSiAgTe2Se
1.0
2.0632 -6.3071 0.0000
2.0632 6.3071 0.0000
0.0000 0.0000 11.0542
Li Si Ag Te Se
2 2 2 4 2
direct
0.1546 0.8454 0.7500
0.8454 0.1546 0.2500
0.5000 0.5000 0.0000
0.5000 0.5000 0.5000
0.1149 0.8851 0.2500
0.8851 0.1149 0.7500
0.1511 0.8489 0.0089
0.1511 0.8489 0.4911
0.8489 0.1511 0.5089
0.8489 0.1511 0.9911
0.4670 0.5330 0.2500
0.5330 0.4670 0.7500
```

Summary:
Electronic total energy, eV/atom: -3.51
Symmetry: Cmcm (63)
Crystal system: orthorhombic

VASP calculation (GGA-PBE) on a relaxed structure of LiAgSnTe2Se.

```
LiAgSnTe2Se
1.0
2.1759 -6.6602 0.0000
2.1759 6.6602 0.0000
0.0000 0.0000 11.4517
Li Ag Sn Te Se
2 2 2 4 2
direct
0.1269 0.8731 0.7500
0.8731 0.1269 0.2500
0.1110 0.8890 0.2500
0.8890 0.1110 0.7500
0.5000 0.5000 0.0000
0.5000 0.5000 0.5000
0.1601 0.8399 0.0133
0.1601 0.8399 0.4867
0.8399 0.1601 0.5133
0.8399 0.1601 0.9867
0.4739 0.5261 0.2500
0.5261 0.4739 0.7500
```

Summary:
Electronic total energy, eV/atom: -3.43
Symmetry: Cmcm (63)
Crystal system: orthorhombic

VASP calculation (GGA-PBE) on a relaxed structure of LiAgSnTeSe2.

```
LiAgSnTeSe2
1.0
1.8716 -6.7852 0.0000
1.8716 6.7852 0.0000
0.0000 0.0000 11.7795
Li Ag Sn Te Se
2 2 2 2 4
direct
0.2028 0.7972 0.7500
0.7972 0.2028 0.2500
0.4621 0.5379 0.2500
0.5379 0.4621 0.7500
0.0000 0.0000 0.0000
0.0000 0.0000 0.5000
0.1175 0.8825 0.2500
0.8825 0.1175 0.7500
0.3590 0.6410 0.0626
0.3590 0.6410 0.4374
0.6410 0.3590 0.5626
0.6410 0.3590 0.9374
```

Summary:
Electronic total energy, eV/atom: -3.48
Symmetry: Cmcm (63)
Crystal system: orthorhombic

VASP calculation (GGA-PBE) on a relaxed structure of LiTaAgSe3.

```
LiTaAgSe3
1.0
1.8094 -6.6480 0.0000
1.8094 6.6480 0.0000
0.0000 0.0000 10.1799
Li Ta Ag Se
2 2 2 6
direct
0.2366 0.7634 0.7500
0.7634 0.2366 0.2500
0.0000 0.0000 0.0000
0.0000 0.0000 0.5000
0.4524 0.5476 0.2500
0.5476 0.4524 0.7500
0.0985 0.9015 0.2500
0.3582 0.6418 0.0357
0.3582 0.6418 0.4643
0.6418 0.3582 0.5357
0.6418 0.3582 0.9643
0.9015 0.0985 0.7500
```

Summary:
Electronic total energy, eV/atom: -5.01
Symmetry: Cmcm (63)
Crystal system: orthorhombic
Size of the total moment, μB/cell: 0.71

VASP calculation (GGA-PBE) on a relaxed structure of LiTaAgTe2Se.

```
LiTaAgTe2Se
1.0
1.9163 -7.1013 0.0000
1.9163 7.1013 0.0000
0.0000 0.0000 10.3461
Li Ta Ag Te Se
2 2 2 4 2
direct
0.2460 0.7540 0.7500
0.7540 0.2460 0.2500
0.5000 0.5000 0.0000
0.5000 0.5000 0.5000
0.0408 0.9592 0.2500
0.9592 0.0408 0.7500
0.1465 0.8535 0.0344
0.1465 0.8535 0.4656
0.8535 0.1465 0.5344
0.8535 0.1465 0.9656
0.4145 0.5855 0.2500
0.5855 0.4145 0.7500
```

Summary:
Electronic total energy, eV/atom: -4.68
Symmetry: Cmcm (63)
Crystal system: orthorhombic
Size of the total moment, μB/cell: 1.59

VASP calculation (GGA-PBE) on a relaxed structure of LiTaAgTeSe2.

```
LiTaAgTeSe2
1.0
1.8126 -6.8615 0.0000
1.8126 6.8615 0.0000
0.0000 0.0000 10.4182
Li Ta Ag Te Se
2 2 2 2 4
direct
0.2048 0.7952 0.7500
0.7952 0.2048 0.2500
0.0000 0.0000 0.0000
0.0000 0.0000 0.5000
0.4605 0.5395 0.2500
0.5395 0.4605 0.7500
0.1144 0.8856 0.2500
0.8856 0.1144 0.7500
0.3630 0.6370 0.0430
0.3630 0.6370 0.4570
0.6370 0.3630 0.5430
0.6370 0.3630 0.9570
```

Summary:
Electronic total energy, eV/atom: -4.89
Symmetry: Cmcm (63)
Crystal system: orthorhombic
Size of the total moment, μB/cell: 0.09

VASP calculation (GGA-PBE) on a relaxed structure of LiTbAg3Se4.

```
LiTbAg3Se4
1.0
6.2307 0.0000 0.0000
0.0000 6.2307 0.0000
0.0000 0.0000 6.2307
Li Tb Ag Se
1 1 3 4
direct
0.0000 0.0000 0.0000
0.5000 0.5000 0.5000
0.0000 0.5000 0.5000
0.5000 0.0000 0.5000
0.5000 0.5000 0.0000
0.2456 0.2456 0.2456
0.2456 0.7544 0.7544
0.7544 0.2456 0.7544
0.7544 0.7544 0.2456
```

Summary:
Relative energy among the computed polymorphs, kJ per mole of atoms: 0.0
Symmetry: P-43m (215)
Crystal system: cubic
Size of the total moment, μB/cell: 0.01

VASP calculation (GGA-PBE) on a relaxed structure of LiTbAg3Se4.

```
LiTbAg3Se4
1.0
6.5376 0.0000 0.0000
0.0000 8.2086 0.0000
-2.4340 0.0000 9.4980
Li Tb Ag Se
2 2 6 8
direct
0.1710 0.2500 0.2069
0.8290 0.7500 0.7931
0.2921 0.2500 0.7071
0.7079 0.7500 0.2929
0.1898 0.7500 0.2046
0.2568 0.5646 0.4743
0.2568 0.9354 0.4743
0.7432 0.0646 0.5257
0.7432 0.4354 0.5257
0.8102 0.2500 0.7954
0.0154 0.2500 0.4349
0.1769 0.2500 0.9522
0.4410 0.0117 0.2706
0.4410 0.4883 0.2706
0.5590 0.5117 0.7294
0.5590 0.9883 0.7294
0.8231 0.7500 0.0478
0.9846 0.7500 0.5651
```

Summary:
Relative energy among the computed polymorphs, kJ per mole of atoms: 2.8
Symmetry: P2_1/m (11)
Crystal system: monoclinic
Size of the total moment, μB/cell: 0.06

VASP calculation (GGA-PBE) on a relaxed structure of LiTcAgSe3.

```
LiTcAgSe3
1.0
1.8368 -6.5311 0.0000
1.8368 6.5311 0.0000
0.0000 0.0000 10.1655
Li Tc Ag Se
2 2 2 6
direct
0.2370 0.7630 0.7500
0.7630 0.2370 0.2500
0.5000 0.5000 0.0000
0.5000 0.5000 0.5000
0.0770 0.9230 0.2500
0.9230 0.0770 0.7500
0.1395 0.8605 0.0158
0.1395 0.8605 0.4842
0.4229 0.5771 0.2500
0.5771 0.4229 0.7500
0.8605 0.1395 0.5158
0.8605 0.1395 0.9842
```

Summary:
Electronic total energy, eV/atom: -4.50
Symmetry: Cmcm (63)
Crystal system: orthorhombic
Size of the total moment, μB/cell: 5.00

VASP calculation (GGA-PBE) on a relaxed structure of LiAgTe2WSe.

```
LiAgTe2WSe
1.0
1.8696 -7.1073 0.0000
1.8696 7.1073 0.0000
0.0000 0.0000 10.3375
Li Ag Te W Se
2 2 4 2 2
direct
0.2406 0.7594 0.7500
0.7594 0.2406 0.2500
0.0581 0.9419 0.2500
0.9419 0.0581 0.7500
0.1459 0.8541 0.0202
0.1459 0.8541 0.4798
0.8541 0.1459 0.5202
0.8541 0.1459 0.9798
0.5000 0.5000 0.0000
0.5000 0.5000 0.5000
0.4248 0.5752 0.2500
0.5752 0.4248 0.7500
```

Summary:
Electronic total energy, eV/atom: -4.59
Symmetry: Cmcm (63)
Crystal system: orthorhombic
Size of the total moment, μB/cell: 3.55

VASP calculation (GGA-PBE) on a relaxed structure of LiZrAgTeSe2.

```
LiZrAgTeSe2
1.0
1.9281 -6.7940 0.0000
1.9281 6.7940 0.0000
0.0000 0.0000 10.7562
Li Zr Ag Te Se
2 2 2 2 4
direct
0.2015 0.7985 0.7500
0.7985 0.2015 0.2500
0.0000 0.0000 0.0000
0.0000 0.0000 0.5000
0.4707 0.5293 0.2500
0.5293 0.4707 0.7500
0.1164 0.8836 0.2500
0.8836 0.1164 0.7500
0.3631 0.6369 0.0532
0.3631 0.6369 0.4468
0.6369 0.3631 0.5532
0.6369 0.3631 0.9468
```

Summary:
Electronic total energy, eV/atom: -4.74
Symmetry: Cmcm (63)
Crystal system: orthorhombic
Size of the total moment, μB/cell: 0.00

VASP calculation (GGA-PBE) on a relaxed structure of LiAgWSe3.

```
LiAgWSe3
1.0
1.7684 -6.7235 0.0000
1.7684 6.7235 0.0000
0.0000 0.0000 10.2452
Li Ag W Se
2 2 2 6
direct
0.2275 0.7725 0.7500
0.7725 0.2275 0.2500
0.0858 0.9142 0.2500
0.9142 0.0858 0.7500
0.5000 0.5000 0.0000
0.5000 0.5000 0.5000
0.1416 0.8584 0.0158
0.1416 0.8584 0.4842
0.4275 0.5725 0.2500
0.5725 0.4275 0.7500
0.8584 0.1416 0.5158
0.8584 0.1416 0.9842
```

Summary:
Electronic total energy, eV/atom: -4.89
Symmetry: Cmcm (63)
Crystal system: orthorhombic
Size of the total moment, μB/cell: 3.06

VASP calculation (GGA-PBE) on a relaxed structure of LiZrAgSe3.

```
LiZrAgSe3
1.0
7.9016 0.0000 0.0000
0.0000 3.8547 0.0000
-1.9005 0.0000 9.0520
Li Zr Ag Se
2 2 2 6
direct
0.1458 0.2500 0.1510
0.8542 0.7500 0.8490
0.1833 0.7500 0.6632
0.8167 0.2500 0.3368
0.4333 0.2500 0.8912
0.5667 0.7500 0.1088
0.0740 0.7500 0.3509
0.2148 0.7500 0.9641
0.3956 0.2500 0.6107
0.6044 0.7500 0.3893
0.7852 0.2500 0.0359
0.9260 0.2500 0.6491
```

Summary:
Relative energy among the computed polymorphs, kJ per mole of atoms: 0.0
Symmetry: P2_1/m (11)
Crystal system: monoclinic
Size of the total moment, μB/cell: 0.00

VASP calculation (GGA-PBE) on a relaxed structure of LiZrAgSe3.

```
LiZrAgSe3
1.0
1.9228 -6.5560 0.0000
1.9228 6.5560 0.0000
0.0000 0.0000 10.4432
Li Zr Ag Se
2 2 2 6
direct
0.2290 0.7710 0.7500
0.7710 0.2290 0.2500
0.0000 0.0000 0.0000
0.0000 0.0000 0.5000
0.4672 0.5328 0.2500
0.5328 0.4672 0.7500
0.1032 0.8968 0.2500
0.3572 0.6428 0.0481
0.3572 0.6428 0.4519
0.6428 0.3572 0.5481
0.6428 0.3572 0.9519
0.8968 0.1032 0.7500
```

Summary:
Relative energy among the computed polymorphs, kJ per mole of atoms: 6.7
Symmetry: Cmcm (63)
Crystal system: orthorhombic
Size of the total moment, μB/cell: 0.03

VASP calculation (GGA-PBE) on a relaxed structure of LiZrAg3Se4.

```
LiZrAg3Se4
1.0
6.2205 0.0000 0.0000
0.0000 6.2205 0.0000
0.0000 0.0000 6.2205
Li Zr Ag Se
1 1 3 4
direct
0.0000 0.0000 0.0000
0.5000 0.5000 0.5000
0.0000 0.5000 0.5000
0.5000 0.0000 0.5000
0.5000 0.5000 0.0000
0.2579 0.2579 0.2579
0.2579 0.7421 0.7421
0.7421 0.2579 0.7421
0.7421 0.7421 0.2579
```

Summary:
Electronic total energy, eV/atom: -4.36
Symmetry: P-43m (215)
Crystal system: cubic
Size of the total moment, μB/cell: 0.00

VASP calculation (GGA-PBE) on a relaxed structure of LiZrAgSe3.

```
LiZrAgSe3
1.0
12.6081 0.0000 0.0000
0.0000 3.8523 0.0000
0.0000 0.0000 11.2390
Li Zr Ag Se
4 4 4 12
direct
0.1306 0.2500 0.0099
0.3694 0.7500 0.5099
0.6306 0.2500 0.4901
0.8694 0.7500 0.9901
0.0631 0.2500 0.6715
0.4369 0.7500 0.1715
0.5631 0.2500 0.8285
0.9369 0.7500 0.3285
0.2452 0.2500 0.2927
0.2548 0.7500 0.7927
0.7452 0.2500 0.2073
0.7548 0.7500 0.7073
0.0510 0.7500 0.8499
0.0696 0.2500 0.4166
0.2377 0.7500 0.1250
0.2623 0.2500 0.6250
0.4304 0.7500 0.9166
0.4490 0.2500 0.3499
0.5510 0.7500 0.6501
0.5696 0.2500 0.0834
0.7377 0.7500 0.3750
0.7623 0.2500 0.8750
0.9304 0.7500 0.5834
0.9490 0.2500 0.1501
```

Summary:
Relative energy among the computed polymorphs, kJ per mole of atoms: 3.8
Symmetry: Pnma (62)
Crystal system: orthorhombic
Size of the total moment, μB/cell: 0.02

VASP calculation (GGA-PBE) on a relaxed structure of LiSiAg2.

```
LiSiAg2
1.0
0.0000 3.1753 3.1753
3.1753 0.0000 3.1753
3.1753 3.1753 0.0000
Li Si Ag
1 1 2
direct
0.0000 0.0000 0.0000
0.7500 0.7500 0.7500
0.2500 0.2500 0.2500
0.5000 0.5000 0.5000
```

Summary:
Electronic total energy, eV/atom: -3.25
Symmetry: F-43m (216)
Crystal system: cubic

VASP calculation (GGA-PBE) on a relaxed structure of LiSiAgSn.

```
LiSiAgSn
1.0
0.0000 3.3535 3.3535
3.3535 0.0000 3.3535
3.3535 3.3535 0.0000
Li Si Ag Sn
1 1 1 1
direct
0.0000 0.0000 0.0000
0.5000 0.5000 0.5000
0.2500 0.2500 0.2500
0.7500 0.7500 0.7500
```

Summary:
Relative energy among the computed polymorphs, kJ per mole of atoms: 0.0
Symmetry: F-43m (216)
Crystal system: cubic

VASP calculation (GGA-PBE) on a relaxed structure of LiSiAgSn.

```
LiSiAgSn
1.0
0.0000 3.3559 3.3559
3.3559 0.0000 3.3559
3.3559 3.3559 0.0000
Li Si Ag Sn
1 1 1 1
direct
0.0000 0.0000 0.0000
0.2500 0.2500 0.2500
0.5000 0.5000 0.5000
0.7500 0.7500 0.7500
```

Summary:
Relative energy among the computed polymorphs, kJ per mole of atoms: 0.5
Symmetry: F-43m (216)
Crystal system: cubic

VASP calculation (GGA-PBE) on a relaxed structure of LiSiAgTe3.

```
LiSiAgTe3
1.0
1.8310 -7.0617 0.0000
1.8310 7.0617 0.0000
0.0000 0.0000 11.7278
Li Si Ag Te
2 2 2 6
direct
0.2180 0.7820 0.7500
0.7820 0.2180 0.2500
0.0000 0.0000 0.0000
0.0000 0.0000 0.5000
0.4524 0.5476 0.2500
0.5476 0.4524 0.7500
0.1057 0.8943 0.2500
0.3619 0.6381 0.0440
0.3619 0.6381 0.4560
0.6381 0.3619 0.5440
0.6381 0.3619 0.9560
0.8943 0.1057 0.7500
```

Summary:
Electronic total energy, eV/atom: -3.36
Symmetry: Cmcm (63)
Crystal system: orthorhombic